# 1
! PBE MgNbInFe, relaxed; values from VASP
! Symmetry: No. 216
! ΔE to the lowest computed polymorph (eV/atom): 0.0000
! Spin magnetization (μB/cell): 0.01
&SYSTEM
  ibrav = 0, nat = 4, ntyp = 4
/
ATOMIC_SPECIES
Fe 55.84 Fe.upf
In 114.82 In.upf
Mg 24.30 Mg.upf
Nb 92.91 Nb.upf
ATOMIC_POSITIONS angstrom
Fe 1.557 0.311 2.255
In 0.000 0.000 0.000
Mg 4.670 0.934 6.766
Nb 3.113 0.623 4.511
CELL_PARAMETERS angstrom
3.786 -1.301 2.064
2.344 2.946 2.473
0.097 -0.399 4.485

# 2
! PBE MgNbInFe, relaxed; values from VASP
! Symmetry: No. 216
! ΔE to the lowest computed polymorph (eV/atom): 0.0817
! Spin magnetization (μB/cell): 0.94
&SYSTEM
  ibrav = 0, nat = 4, ntyp = 4
/
ATOMIC_SPECIES
Fe 55.84 Fe.upf
In 114.82 In.upf
Mg 24.30 Mg.upf
Nb 92.91 Nb.upf
ATOMIC_POSITIONS angstrom
Fe 3.229 3.229 3.229
In 0.000 0.000 0.000
Mg 4.843 4.843 4.843
Nb 1.614 1.614 1.614
CELL_PARAMETERS angstrom
0.000 3.229 3.229
3.229 0.000 3.229
3.229 3.229 0.000

# 3
! PBE MgNbInFe, relaxed; values from VASP
! Symmetry: No. 216
! ΔE to the lowest computed polymorph (eV/atom): 0.2815
! Spin magnetization (μB/cell): 2.97
&SYSTEM
  ibrav = 0, nat = 4, ntyp = 4
/
ATOMIC_SPECIES
Fe 55.84 Fe.upf
In 114.82 In.upf
Mg 24.30 Mg.upf
Nb 92.91 Nb.upf
ATOMIC_POSITIONS angstrom
Fe 0.000 0.000 0.000
In 1.677 -1.340 1.866
Mg 5.032 -4.020 5.598
Nb 3.355 -2.680 3.732
CELL_PARAMETERS angstrom
4.257 -1.712 0.726
1.903 0.224 4.232
0.550 -3.872 2.507

# 4
! PBE MgTaInFe, relaxed; values from VASP
! Symmetry: No. 216
! ΔE to the lowest computed polymorph (eV/atom): 0.0800
! Spin magnetization (μB/cell): 1.17
&SYSTEM
  ibrav = 0, nat = 4, ntyp = 4
/
ATOMIC_SPECIES
Fe 55.84 Fe.upf
In 114.82 In.upf
Mg 24.30 Mg.upf
Ta 180.95 Ta.upf
ATOMIC_POSITIONS angstrom
Fe 3.253 3.253 3.253
In 0.000 0.000 0.000
Mg 4.879 4.879 4.879
Ta 1.626 1.626 1.626
CELL_PARAMETERS angstrom
0.000 3.253 3.253
3.253 0.000 3.253
3.253 3.253 0.000

# 5
! PBE MgTaInFe, relaxed; values from VASP
! Symmetry: No. 216
! ΔE to the lowest computed polymorph (eV/atom): 0.3555
! Spin magnetization (μB/cell): 2.50
&SYSTEM
  ibrav = 0, nat = 4, ntyp = 4
/
ATOMIC_SPECIES
Fe 55.84 Fe.upf
In 114.82 In.upf
Mg 24.30 Mg.upf
Ta 180.95 Ta.upf
ATOMIC_POSITIONS angstrom
Fe -1.221 -1.283 8.326
In 0.000 0.000 0.000
Mg -0.814 -0.855 5.551
Ta -0.407 -0.428 2.775
CELL_PARAMETERS angstrom
2.075 -0.234 4.136
-2.193 1.534 3.783
-1.510 -3.010 3.183

# 6
! PBE MgTaInFe, relaxed; values from VASP
! Symmetry: No. 216
! ΔE to the lowest computed polymorph (eV/atom): 0.0000
! Spin magnetization (μB/cell): 0.01
&SYSTEM
  ibrav = 0, nat = 4, ntyp = 4
/
ATOMIC_SPECIES
Fe 55.84 Fe.upf
In 114.82 In.upf
Mg 24.30 Mg.upf
Ta 180.95 Ta.upf
ATOMIC_POSITIONS angstrom
Fe 1.590 1.590 1.590
In 0.000 0.000 0.000
Mg 4.771 4.771 4.771
Ta 3.181 3.181 3.181
CELL_PARAMETERS angstrom
0.000 3.181 3.181
3.181 0.000 3.181
3.181 3.181 0.000

# 7
! PBE MgInFeTc, relaxed; values from VASP
! Symmetry: No. 216
! ΔE to the lowest computed polymorph (eV/atom): 0.0000
! Spin magnetization (μB/cell): 3.12
&SYSTEM
  ibrav = 0, nat = 4, ntyp = 4
/
ATOMIC_SPECIES
Fe 55.84 Fe.upf
In 114.82 In.upf
Mg 24.30 Mg.upf
Tc 98.00 Tc.upf
ATOMIC_POSITIONS angstrom
Fe 4.754 4.754 4.754
In 0.000 0.000 0.000
Mg 1.585 1.585 1.585
Tc 3.169 3.169 3.169
CELL_PARAMETERS angstrom
0.000 3.169 3.169
3.169 0.000 3.169
3.169 3.169 0.000

# 8
! PBE TmMgIn4Fe2, relaxed; values from VASP
! Symmetry: No. 38
! Spin magnetization (μB/cell): 3.70
&SYSTEM
  ibrav = 0, nat = 8, ntyp = 4
/
ATOMIC_SPECIES
Fe 55.84 Fe.upf
In 114.82 In.upf
Mg 24.30 Mg.upf
Tm 168.93 Tm.upf
ATOMIC_POSITIONS angstrom
Fe 3.930 0.000 2.898
Fe 0.000 0.000 7.437
In 1.528 0.000 1.451
In 6.332 0.000 1.451
In 2.313 0.000 8.867
In 5.546 0.000 8.867
Mg 0.000 0.000 4.482
Tm 3.930 0.000 5.840
CELL_PARAMETERS angstrom
7.860 0.000 0.000
0.000 2.033 5.162
0.000 -2.033 5.162

# 9
! PBE MgZnInFe, relaxed; values from VASP
! Symmetry: No. 216
! ΔE to the lowest computed polymorph (eV/atom): 0.0000
! Spin magnetization (μB/cell): 1.86
&SYSTEM
  ibrav = 0, nat = 4, ntyp = 4
/
ATOMIC_SPECIES
Fe 55.84 Fe.upf
In 114.82 In.upf
Mg 24.30 Mg.upf
Zn 65.41 Zn.upf
ATOMIC_POSITIONS angstrom
Fe 0.000 0.000 0.000
In 1.588 1.588 1.588
Mg 3.177 3.177 3.177
Zn 4.765 4.765 4.765
CELL_PARAMETERS angstrom
0.000 3.177 3.177
3.177 0.000 3.177
3.177 3.177 0.000

# 10
! PBE MgZrInFe, relaxed; values from VASP
! Symmetry: No. 216
! ΔE to the lowest computed polymorph (eV/atom): 0.0000
! Spin magnetization (μB/cell): 1.14
&SYSTEM
  ibrav = 0, nat = 4, ntyp = 4
/
ATOMIC_SPECIES
Fe 55.84 Fe.upf
In 114.82 In.upf
Mg 24.30 Mg.upf
Zr 91.22 Zr.upf
ATOMIC_POSITIONS angstrom
Fe 4.958 4.958 4.958
In 0.000 0.000 0.000
Mg 1.653 1.653 1.653
Zr 3.305 3.305 3.305
CELL_PARAMETERS angstrom
0.000 3.305 3.305
3.305 0.000 3.305
3.305 3.305 0.000

# 11
! PBE MgZrInFe, relaxed; values from VASP
! Symmetry: No. 216
! ΔE to the lowest computed polymorph (eV/atom): 0.1643
! Spin magnetization (μB/cell): 2.25
&SYSTEM
  ibrav = 0, nat = 4, ntyp = 4
/
ATOMIC_SPECIES
Fe 55.84 Fe.upf
In 114.82 In.upf
Mg 24.30 Mg.upf
Zr 91.22 Zr.upf
ATOMIC_POSITIONS angstrom
Fe 5.028 5.028 5.028
In 0.000 0.000 0.000
Mg 3.352 3.352 3.352
Zr 1.676 1.676 1.676
CELL_PARAMETERS angstrom
0.000 3.352 3.352
3.352 0.000 3.352
3.352 3.352 0.000

# 12
! PBE In2Fe3Mo2, relaxed; values from VASP
! Symmetry: No. 160
! Spin magnetization (μB/cell): 1.82
&SYSTEM
  ibrav = 0, nat = 7, ntyp = 3
/
ATOMIC_SPECIES
Fe 55.84 Fe.upf
In 114.82 In.upf
Mo 95.94 Mo.upf
ATOMIC_POSITIONS angstrom
Fe 1.649 -2.906 6.857
Fe 2.766 -4.875 11.501
Fe 3.884 -6.846 16.151
In 1.070 -1.887 4.452
In 3.335 -5.879 13.871
Mo 0.010 -0.018 0.043
Mo 2.198 -3.874 9.141
CELL_PARAMETERS angstrom
3.692 -1.561 6.030
-0.411 -1.368 7.099
1.137 -4.859 5.247

# 13
! PBE InFeMo4N2, relaxed; values from VASP
! Symmetry: No. 187
! Spin magnetization (μB/cell): 2.09
&SYSTEM
  ibrav = 0, nat = 8, ntyp = 4
/
ATOMIC_SPECIES
Fe 55.84 Fe.upf
In 114.82 In.upf
Mo 95.94 Mo.upf
N 14.01 N.upf
ATOMIC_POSITIONS angstrom
Fe 0.000 0.000 0.000
In 1.451 0.838 7.278
Mo 1.451 0.838 2.112
Mo 0.000 0.000 4.827
Mo 0.000 0.000 9.729
Mo 1.451 0.838 12.444
N 0.000 1.675 3.485
N 0.000 1.675 11.072
CELL_PARAMETERS angstrom
2.902 0.000 0.000
-1.451 2.513 0.000
0.000 0.000 14.556

# 14
! PBE NaInFeMo, relaxed; values from VASP
! Symmetry: No. 216
! ΔE to the lowest computed polymorph (eV/atom): 0.0000
! Spin magnetization (μB/cell): 0.00
&SYSTEM
  ibrav = 0, nat = 4, ntyp = 4
/
ATOMIC_SPECIES
Fe 55.84 Fe.upf
In 114.82 In.upf
Mo 95.94 Mo.upf
Na 22.99 Na.upf
ATOMIC_POSITIONS angstrom
Fe 1.575 1.575 1.575
In 3.149 3.149 3.149
Mo 0.000 0.000 0.000
Na 4.724 4.724 4.724
CELL_PARAMETERS angstrom
0.000 3.149 3.149
3.149 0.000 3.149
3.149 3.149 0.000

# 15
! PBE NaInFeMo, relaxed; values from VASP
! Symmetry: No. 216
! ΔE to the lowest computed polymorph (eV/atom): 0.0606
! Spin magnetization (μB/cell): 0.86
&SYSTEM
  ibrav = 0, nat = 4, ntyp = 4
/
ATOMIC_SPECIES
Fe 55.84 Fe.upf
In 114.82 In.upf
Mo 95.94 Mo.upf
Na 22.99 Na.upf
ATOMIC_POSITIONS angstrom
Fe 0.000 0.000 0.000
In -5.481 0.009 -1.442
Mo -2.740 0.005 -0.721
Na -8.221 0.014 -2.164
CELL_PARAMETERS angstrom
-3.983 -2.340 0.273
-4.005 2.286 0.387
-2.974 0.073 -3.545

# 16
! PBE InFeMoOs, relaxed; values from VASP
! Symmetry: No. 216
! ΔE to the lowest computed polymorph (eV/atom): 0.0000
! Spin magnetization (μB/cell): 2.36
&SYSTEM
  ibrav = 0, nat = 4, ntyp = 4
/
ATOMIC_SPECIES
Fe 55.84 Fe.upf
In 114.82 In.upf
Mo 95.94 Mo.upf
Os 190.23 Os.upf
ATOMIC_POSITIONS angstrom
Fe -1.847 -0.189 7.938
In 0.000 0.000 0.000
Mo -1.232 -0.126 5.292
Os -0.616 -0.063 2.646
CELL_PARAMETERS angstrom
0.310 2.193 3.846
-3.313 -0.206 2.945
0.539 -2.239 3.794

# 17
! PBE InFeMoPt, relaxed; values from VASP
! Symmetry: No. 216
! ΔE to the lowest computed polymorph (eV/atom): 0.0000
! Spin magnetization (μB/cell): 1.43
&SYSTEM
  ibrav = 0, nat = 4, ntyp = 4
/
ATOMIC_SPECIES
Fe 55.84 Fe.upf
In 114.82 In.upf
Mo 95.94 Mo.upf
Pt 195.08 Pt.upf
ATOMIC_POSITIONS angstrom
Fe 4.399 4.415 5.444
In 0.000 0.000 0.000
Mo 2.933 2.944 3.629
Pt 1.466 1.472 1.815
CELL_PARAMETERS angstrom
2.946 3.375 0.473
-0.244 2.717 3.585
3.163 -0.204 3.200

# 18
! PBE InFeReMo, relaxed; values from VASP
! Symmetry: No. 216
! ΔE to the lowest computed polymorph (eV/atom): 0.0000
! Spin magnetization (μB/cell): 1.87
&SYSTEM
  ibrav = 0, nat = 4, ntyp = 4
/
ATOMIC_SPECIES
Fe 55.84 Fe.upf
In 114.82 In.upf
Mo 95.94 Mo.upf
Re 186.21 Re.upf
ATOMIC_POSITIONS angstrom
Fe 4.720 4.720 4.720
In 0.000 0.000 0.000
Mo 3.147 3.147 3.147
Re 1.573 1.573 1.573
CELL_PARAMETERS angstrom
0.000 3.147 3.147
3.147 0.000 3.147
3.147 3.147 0.000

# 19
! PBE ScInFeMo, relaxed; values from VASP
! Symmetry: No. 216
! ΔE to the lowest computed polymorph (eV/atom): 0.0000
! Spin magnetization (μB/cell): 1.96
&SYSTEM
  ibrav = 0, nat = 4, ntyp = 4
/
ATOMIC_SPECIES
Fe 55.84 Fe.upf
In 114.82 In.upf
Mo 95.94 Mo.upf
Sc 44.96 Sc.upf
ATOMIC_POSITIONS angstrom
Fe 4.840 4.840 4.840
In 0.000 0.000 0.000
Mo 3.227 3.227 3.227
Sc 1.613 1.613 1.613
CELL_PARAMETERS angstrom
0.000 3.227 3.227
3.227 0.000 3.227
3.227 3.227 0.000

# 20
! PBE Sc4InFeN2, relaxed; values from VASP
! Symmetry: No. 187
! Spin magnetization (μB/cell): 0.58
&SYSTEM
  ibrav = 0, nat = 8, ntyp = 4
/
ATOMIC_SPECIES
Fe 55.84 Fe.upf
In 114.82 In.upf
N 14.01 N.upf
Sc 44.96 Sc.upf
ATOMIC_POSITIONS angstrom
Fe 0.000 0.000 0.000
In -3.189 4.940 4.300
N -2.716 1.323 2.335
N -4.871 5.537 8.039
Sc -1.708 2.045 0.381
Sc -1.297 2.537 3.434
Sc -2.799 5.473 7.409
Sc -4.669 7.835 8.219
CELL_PARAMETERS angstrom
-0.535 2.445 -2.008
-2.351 -2.085 0.652
-4.097 8.011 10.843

Number 1: total energy -5.5484 eV per atom. Number 2: total energy -5.4666 eV per atom. Number 3: total energy -5.2668 eV per atom. Number 4: total energy -5.8458 eV per atom. Number 5: total energy -5.5702 eV per atom. Number 6: total energy -5.9257 eV per atom. Number 7: total energy -5.4587 eV per atom. Number 8: total energy -4.1891 eV per atom. Number 9: total energy -3.2533 eV per atom. Number 10: total energy -5.2884 eV per atom. Number 11: total energy -5.1242 eV per atom. Number 12: total energy -7.1187 eV per atom. Number 13: total energy -8.7879 eV per atom. Number 14: total energy -5.1887 eV per atom. Number 15: total energy -5.1281 eV per atom. Number 16: total energy -7.9463 eV per atom. Number 17: total energy -6.8548 eV per atom. Number 18: total energy -8.1761 eV per atom. Number 19: total energy -6.8001 eV per atom. Number 20: total energy -7.5712 eV per atom.